DFT (PBE) results for TmMg2ScAu4 after structural relaxation.

abc: 8.338 8.338 8.338
angles: 33.40 33.40 33.40
Element x y z (fractional)
Tm 0.000 0.000 0.000
Mg 0.249 0.249 0.249
Mg 0.751 0.751 0.751
Sc 0.500 0.500 0.500
Au 0.128 0.128 0.128
Au 0.379 0.379 0.379
Au 0.621 0.621 0.621
Au 0.872 0.872 0.872

Properties
SG: No. 166
Raw total energy (eV/atom): -4.159